A plane-wave DFT calculation with GGA-PBE was carried out for Be2B2Pt after structural relaxation.

Cell: 5.444 5.444 3.025 Å, 90.00 90.00 90.00°
Fractional positions:
Be 0.157 0.343 0.000
Be 0.343 0.843 0.000
Be 0.657 0.157 0.000
Be 0.843 0.657 0.000
B 0.106 0.606 0.500
B 0.394 0.106 0.500
B 0.606 0.894 0.500
B 0.894 0.394 0.500
Pt 0.000 0.000 0.500
Pt 0.500 0.500 0.500

Calculated values
Formation enthalpy at 0 K in meV/atom: -158
SG: P4/mbm (127)
Excess energy over the best structure of this formula in the dataset in meV/atom: 0.0
Crystal system: tetragonal